Entry from the Alexandria database: a relaxed LaZnIn2 crystal (GGA-PBE). Values from VASP.

## Properties
- Total magnetic moment: 0.624 μB/f.u.
- Crystal system: trigonal
- Energy: -0.110 Ha/atom
- Formation energy: -69 meV/atom

```
&SYSTEM
  ibrav = 0, nat = 4, ntyp = 3
/
ATOMIC_SPECIES
In 114.82 In.upf
La 138.91 La.upf
Zn 65.41 Zn.upf
CELL_PARAMETERS angstrom
10.320 -0.022 -0.013
9.753 3.374 -0.013
9.753 1.629 2.955
ATOMIC_POSITIONS crystal
In 0.012 0.012 0.012
In 0.488 0.488 0.488
La 0.250 0.250 0.250
Zn 0.750 0.750 0.750
```

=====

Entry from the Alexandria database: a relaxed LiSb2Pd6 crystal (GGA-PBE). Values from VASP.

## Properties
- Distance to the lowest polymorph of the same formula: 0 meV/atom
- Total magnetic moment: 0.000 μB/f.u.
- Crystal system: monoclinic
- Formation energy (no corrections): -0.4837 eV per atom
- Energy: -0.186 Ha/atom

```
&SYSTEM
  ibrav = 0, nat = 9, ntyp = 3
/
ATOMIC_SPECIES
Li 6.94 Li.upf
Pd 106.42 Pd.upf
Sb 121.76 Sb.upf
CELL_PARAMETERS angstrom
-0.957 -2.485 -3.266
-2.445 -0.827 4.064
-6.970 4.256 -1.195
ATOMIC_POSITIONS crystal
Li 0.000 0.000 0.500
Pd 0.648 0.296 0.592
Pd 0.003 0.006 0.180
Pd 0.664 0.327 0.938
Pd 0.997 0.994 0.820
Pd 0.352 0.704 0.408
Pd 0.336 0.673 0.062
Sb 0.682 0.365 0.260
Sb 0.318 0.635 0.740
```